1.
GaCuAgRu2: optimized geometry, PBE.

abc: 4.558 4.558 4.334
angles: 90.00 90.00 90.00
Positions (direct):
Ga: 0.000 0.000 0.000
Cu: 0.000 0.000 0.500
Ag: 0.500 0.500 0.000
Ru: 0.000 0.500 0.500
Ru: 0.500 0.000 0.500

Properties
- Calculated formation energy: 1.193 eV per atom
- Crystal system: tetragonal

2.
GaCuAgRu: optimized geometry, PBE.

abc: 4.338 4.338 4.338
angles: 60.00 60.00 60.00
Positions (direct):
Ga: 0.000 0.000 0.000
Cu: 0.500 0.500 0.500
Ag: 0.250 0.250 0.250
Ru: 0.750 0.750 0.750

Properties
- Calculated formation energy: 0.049 eV per atom
- Crystal system: cubic

3.
GaCuAg2S4: optimized geometry, PBE.

abc: 6.678 6.678 6.678
angles: 130.16 130.16 73.16
Positions (direct):
Ga: 0.000 0.000 0.000
Cu: 0.750 0.250 0.500
Ag: 0.250 0.750 0.500
Ag: 0.500 0.500 0.000
S: 0.090 0.621 0.964
S: 0.379 0.343 0.469
S: 0.657 0.126 0.036
S: 0.874 0.910 0.531

Properties
- Crystal system: tetragonal
- Raw formation energy: -195 kJ/mol of formula units

4.
GaCu2AgS4: optimized geometry, PBE.

abc: 6.536 6.536 6.536
angles: 130.37 130.37 72.81
Positions (direct):
Ga: 0.000 0.000 0.000
Cu: 0.250 0.750 0.500
Cu: 0.750 0.250 0.500
Ag: 0.500 0.500 0.000
S: 0.101 0.101 0.470
S: 0.370 0.899 0.000
S: 0.630 0.630 0.530
S: 0.899 0.370 0.000

Properties
- Crystal system: tetragonal
- Raw formation energy: -248 kJ/mol of formula units

5.
Sc2GaCuAg: optimized geometry, PBE.

abc: 4.982 4.982 4.410
angles: 90.00 90.00 90.00
Positions (direct):
Sc: 0.000 0.500 0.000
Sc: 0.500 0.000 0.000
Ga: 0.000 0.000 0.500
Cu: 0.000 0.000 0.000
Ag: 0.500 0.500 0.500

Properties
- Calculated formation energy: 0.081 eV per atom
- Crystal system: tetragonal

6.
Sc4Ga2CuAg: optimized geometry, PBE.

abc: 8.222 8.222 8.222
angles: 33.66 33.66 33.66
Positions (direct):
Sc: 0.121 0.121 0.121
Sc: 0.372 0.372 0.372
Sc: 0.628 0.628 0.628
Sc: 0.879 0.879 0.879
Ga: 0.249 0.249 0.249
Ga: 0.751 0.751 0.751
Cu: 0.000 0.000 0.000
Ag: 0.500 0.500 0.500

Properties
- Calculated formation energy: -0.468 eV per atom
- Crystal system: trigonal

7.
GaCuAg2Se4: optimized geometry, PBE.

abc: 7.025 7.025 7.025
angles: 130.23 130.23 73.04
Positions (direct):
Ga: 0.000 0.000 0.000
Cu: 0.750 0.250 0.500
Ag: 0.250 0.750 0.500
Ag: 0.500 0.500 0.000
Se: 0.094 0.127 0.475
Se: 0.381 0.906 0.032
Se: 0.651 0.619 0.525
Se: 0.873 0.349 0.968

Properties
- Crystal system: tetragonal
- Raw formation energy: -184 kJ/mol of formula units

8.
Sm2Ga4Cu3Ag: optimized geometry, PBE.

abc: 4.221 4.221 10.330
angles: 90.00 90.00 90.00
Positions (direct):
Sm: 0.000 0.500 0.244
Sm: 0.500 0.000 0.756
Ga: 0.000 0.000 0.000
Ga: 0.000 0.500 0.643
Ga: 0.500 0.000 0.357
Ga: 0.500 0.500 0.000
Cu: 0.000 0.500 0.873
Cu: 0.500 0.000 0.127
Cu: 0.500 0.500 0.500
Ag: 0.000 0.000 0.500

Properties
- Calculated formation energy: -0.420 eV per atom
- Crystal system: tetragonal

9.
SmGa4CuAg2: optimized geometry, PBE.

abc: 8.962 8.962 8.962
angles: 28.87 28.87 28.87
Positions (direct):
Sm: 0.000 0.000 0.000
Ga: 0.130 0.130 0.130
Ga: 0.397 0.397 0.397
Ga: 0.603 0.603 0.603
Ga: 0.870 0.870 0.870
Cu: 0.500 0.500 0.500
Ag: 0.243 0.243 0.243
Ag: 0.757 0.757 0.757

Properties
- Calculated formation energy: -0.199 eV per atom
- Crystal system: trigonal

10.
SmGaCuAg: optimized geometry, PBE.

abc: 4.773 4.773 4.773
angles: 60.00 60.00 60.00
Positions (direct):
Sm: 0.000 0.000 0.000
Ga: 0.250 0.250 0.250
Cu: 0.750 0.750 0.750
Ag: 0.500 0.500 0.500

Properties
- Calculated formation energy: -0.272 eV per atom
- Crystal system: cubic

11.
SmGa3CuAg: optimized geometry, PBE.

abc: 6.883 6.883 6.471
angles: 90.00 90.00 129.52
Positions (direct):
Sm: 0.200 0.800 0.750
Sm: 0.800 0.200 0.250
Ga: 0.221 0.221 0.000
Ga: 0.221 0.221 0.500
Ga: 0.369 0.631 0.250
Ga: 0.631 0.369 0.750
Ga: 0.779 0.779 0.000
Ga: 0.779 0.779 0.500
Cu: 0.423 0.577 0.750
Cu: 0.577 0.423 0.250
Ag: 0.155 0.845 0.250
Ag: 0.845 0.155 0.750

Properties
- Calculated formation energy: -0.162 eV per atom
- Crystal system: orthorhombic

12.
Sm2Ga3Cu4Ag: optimized geometry, PBE.

abc: 4.177 4.177 10.439
angles: 90.00 90.00 90.00
Positions (direct):
Sm: 0.000 0.500 0.236
Sm: 0.500 0.000 0.764
Ga: 0.000 0.500 0.875
Ga: 0.500 0.000 0.125
Ga: 0.500 0.500 0.500
Cu: 0.000 0.000 0.000
Cu: 0.000 0.500 0.645
Cu: 0.500 0.000 0.355
Cu: 0.500 0.500 0.000
Ag: 0.000 0.000 0.500

Properties
- Calculated formation energy: -0.344 eV per atom
- Crystal system: tetragonal

Quick rundown of DOS at the Fermi energy, same order as above: 1.476; 0.290; 0.762; 0.712; 1.344; 0.549; 0.713; 0.559; 0.404; 0.657; 0.457; 0.541 states/eV/atom